Record 1
Density functional theory data (PBE) for a geometry-optimized PmAg2IrO6 structure.

CIF file:
```
data_PmAg2IrO6
_symmetry_space_group_name_H-M 'P 1 21/c 1'
_symmetry_Int_Tables_number 14
_cell_length_a 5.719
_cell_length_b 5.727
_cell_length_c 9.939
_cell_angle_alpha 90.00
_cell_angle_beta 123.79
_cell_angle_gamma 90.00
loop_
_symmetry_equiv_pos_as_xyz
'x,y,z'
'-x,-y,-z'
'-x,y+1/2,-z+1/2'
'x,-y+1/2,z+1/2'
loop_
_atom_site_label
_atom_site_type_symbol
_atom_site_fract_x
_atom_site_fract_y
_atom_site_fract_z
Pm1 Pm 0.000 0.000 0.000
Ag1 Ag 0.246 0.018 0.752
Ir1 Ir 0.500 0.000 0.500
O1 O 0.191 0.042 0.276
O2 O 0.249 0.654 0.044
O3 O 0.397 0.205 0.045
```

Properties
- size of the total moment (μB per cell) = 0.00
- raw formation energy (eV per formula unit) = -10.86

=====

Record 2
Density functional theory data (PBE) for a geometry-optimized In2RePt structure.

CIF file:
```
data_In2RePt
_symmetry_space_group_name_H-M 'C 1 m 1'
_symmetry_Int_Tables_number 8
_cell_length_a 10.596
_cell_length_b 2.952
_cell_length_c 5.028
_cell_angle_alpha 90.00
_cell_angle_beta 112.55
_cell_angle_gamma 90.00
loop_
_symmetry_equiv_pos_as_xyz
'x,y,z'
'x,-y,z'
'x+1/2,y+1/2,z'
'x+1/2,-y+1/2,z'
loop_
_atom_site_label
_atom_site_type_symbol
_atom_site_fract_x
_atom_site_fract_y
_atom_site_fract_z
In1 In 0.000 0.000 0.000
In2 In 0.218 0.000 0.598
Re1 Re 0.251 0.500 0.106
Pt1 Pt 0.462 0.000 0.486
```

Properties
- total DFT energy (no corrections) (eV/atom) = -5.836
- size of the total moment (μB per cell) = 0.00

=====

Record 3
Density functional theory data (PBE) for a geometry-optimized Tm4TeS2 structure.

CIF file:
```
data_Tm4TeS2
_symmetry_space_group_name_H-M 'R -3 m'
_symmetry_Int_Tables_number 166
_symmetry_space_group_name_Hall '-R 3 2"'
_cell_length_a 3.8936
_cell_length_b 3.8936
_cell_length_c 38.8768
_cell_angle_alpha 90.00
_cell_angle_beta 90.00
_cell_angle_gamma 120.00
loop_
_atom_site_label
_atom_site_type_symbol
_atom_site_fract_x
_atom_site_fract_y
_atom_site_fract_z
Tm1 Tm 0.0000 0.0000 0.1307
Tm2 Tm 0.0000 0.0000 0.2797
Te1 Te 0.0000 0.0000 0.0000
S1 S 0.0000 0.0000 0.4241
```

Properties
- size of the total moment (μB per cell) = 0.00
- raw formation energy (eV per formula unit) = -10.04

=====

Which formula does entry 3 have? Tm4TeS2